A geometry-optimized DyC3 structure, computed with PBE.

a = 5.2327 Å, b = 4.8960 Å, c = 4.8960 Å
α = 120.11°, β = 90.00°, γ = 90.00°
Fractional coordinates of all 8 atoms:
1 C 0.7500 0.0338 0.2655
2 C 0.7500 0.7345 0.9662
3 C 0.7500 0.7348 0.2652
4 C 0.2500 0.2652 0.7348
5 C 0.2500 0.9662 0.7345
6 C 0.2500 0.2655 0.0338
7 Dy 0.7500 0.1671 0.8329
8 Dy 0.2500 0.8329 0.1671

space-group type	Cmcm, No. 63
final energy	-0.2735	Ha/atom
DFT formation energy	0.63	eV per atom
N(E_F)	0.283	states/eV per atom


A geometry-optimized Dy4C5 structure, computed with PBE.

a = 3.6731 Å, b = 6.5871 Å, c = 11.9798 Å
α = 90.00°, β = 90.00°, γ = 90.00°
Fractional coordinates of all 18 atoms:
1 Dy 0.0000 0.2556 0.5427
2 Dy 0.0000 0.2444 0.0427
3 Dy 0.5000 0.3917 0.3048
4 Dy 0.5000 0.6083 0.6952
5 Dy 0.5000 0.1083 0.8048
6 Dy 0.0000 0.7444 0.4573
7 Dy 0.0000 0.7556 0.9573
8 Dy 0.5000 0.8917 0.1952
9 C 0.0000 0.1371 0.2354
10 C 0.0000 0.8629 0.7646
11 C 0.0000 0.4028 0.8444
12 C 0.0000 0.9028 0.6556
13 C 0.0000 0.6371 0.2646
14 C 0.0000 0.3629 0.7354
15 C 0.0000 0.5972 0.1556
16 C 0.5000 0.0000 0.0000
17 C 0.5000 0.5000 0.5000
18 C 0.0000 0.0972 0.3444

space-group type	Pbam, No. 55
final energy	-0.2755	Ha/atom
DFT formation energy	-0.33	eV per atom
N(E_F)	0.408	states/eV per atom